#one
The following is a DFT calculation (PBE) of a relaxed ThZrSe2 crystal.

Computed properties:
- total magnetic moment (μB per cell) = 0.000
- volume (Å³ per cell) = 278.9
- crystal system = trigonal

Geometry as CIF:
```
data_ThZrSe2
_cell_length_a 3.6910
_cell_length_b 3.6910
_cell_length_c 23.6422
_cell_angle_alpha 90.00
_cell_angle_beta 90.00
_cell_angle_gamma 120.00
_symmetry_space_group_name_H-M 'R 3 m'
_symmetry_Int_Tables_number 160
_symmetry_space_group_name_Hall 'R 3 -2"'
loop_
_atom_site_label
_atom_site_type_symbol
_atom_site_fract_x
_atom_site_fract_y
_atom_site_fract_z
Th1 Th 0.0000 0.0000 0.0000
Zr1 Zr 0.0000 0.0000 0.8336
Se1 Se 0.0000 0.0000 0.4264
Se2 Se 0.0000 0.0000 0.5746
```



#two
The following is a DFT calculation (PBE) of a relaxed ThZrSe2 crystal.

Computed properties:
- total magnetic moment (μB per cell) = 2.151
- volume (Å³ per cell) = 329.7
- crystal system = trigonal

Geometry as CIF:
```
data_ThZrSe2
_cell_length_a 3.6988
_cell_length_b 3.6988
_cell_length_c 27.8286
_cell_angle_alpha 90.00
_cell_angle_beta 90.00
_cell_angle_gamma 120.00
_symmetry_space_group_name_H-M 'R -3 m'
_symmetry_Int_Tables_number 166
_symmetry_space_group_name_Hall '-R 3 2"'
loop_
_atom_site_label
_atom_site_type_symbol
_atom_site_fract_x
_atom_site_fract_y
_atom_site_fract_z
Th1 Th 0.0000 0.0000 0.0000
Zr1 Zr 0.0000 0.0000 0.5000
Se1 Se 0.0000 0.0000 0.1059
```



Most stable: #one



#one
The following is a DFT calculation (PBE) of a relaxed TiTl4Se4 crystal.

Computed properties:
- total magnetic moment (μB per cell) = 0.000
- volume (Å³ per cell) = 1192.7
- crystal system = monoclinic

Geometry as CIF:
```
data_TiTl4Se4
_cell_length_a 8.719
_cell_length_b 8.640
_cell_length_c 16.390
_cell_angle_alpha 90.00
_cell_angle_beta 104.99
_cell_angle_gamma 90.00
_symmetry_space_group_name_H-M 'P 1 21/c 1'
_symmetry_Int_Tables_number 14
_symmetry_space_group_name_Hall '-P 2ybc'
loop_
_atom_site_label
_atom_site_type_symbol
_atom_site_fract_x
_atom_site_fract_y
_atom_site_fract_z
Ti1 Ti 0.207 0.110 0.377
Tl1 Tl 0.034 0.507 0.637
Tl2 Tl 0.180 0.108 0.618
Tl3 Tl 0.392 0.718 0.362
Tl4 Tl 0.411 0.681 0.611
Se1 Se 0.055 0.662 0.212
Se2 Se 0.186 0.613 0.962
Se3 Se 0.295 0.166 0.962
Se4 Se 0.388 0.054 0.292
```



#two
The following is a DFT calculation (PBE) of a relaxed TiTl4Se4 crystal.

Computed properties:
- total magnetic moment (μB per cell) = 0.000
- volume (Å³ per cell) = 589.7
- crystal system = tetragonal

Geometry as CIF:
```
data_TiTl4Se4
_cell_length_a 9.324
_cell_length_b 9.324
_cell_length_c 6.783
_cell_angle_alpha 90.00
_cell_angle_beta 90.00
_cell_angle_gamma 90.00
_symmetry_space_group_name_H-M 'P 42/n m c'
_symmetry_Int_Tables_number 137
loop_
_symmetry_equiv_pos_as_xyz
'x,y,z'
'-x,-y,-z'
'-y+1/2,x,z+1/2'
'y+1/2,-x,-z+1/2'
'-x+1/2,-y+1/2,z'
'x+1/2,y+1/2,-z'
'y,-x+1/2,z+1/2'
'-y,x+1/2,-z+1/2'
'x+1/2,-y,-z'
'-x+1/2,y,z'
'-y,-x,-z+1/2'
'y,x,z+1/2'
'-x,y+1/2,-z'
'x,-y+1/2,z'
'y+1/2,x+1/2,-z+1/2'
'-y+1/2,-x+1/2,z+1/2'
loop_
_atom_site_label
_atom_site_type_symbol
_atom_site_fract_x
_atom_site_fract_y
_atom_site_fract_z
Ti1 Ti 0.250 0.750 0.250
Tl1 Tl 0.031 0.250 0.080
Se1 Se 0.039 0.750 0.454
```



Most stable: #one



#one
The following is a DFT calculation (PBE) of a relaxed Ti2TlSe2 crystal.

Computed properties:
- total magnetic moment (μB per cell) = 0.001
- volume (Å³ per cell) = 223.0
- crystal system = tetragonal

Geometry as CIF:
```
data_Ti2TlSe2
_cell_length_a 4.633
_cell_length_b 4.633
_cell_length_c 10.386
_cell_angle_alpha 90.00
_cell_angle_beta 90.00
_cell_angle_gamma 90.00
_symmetry_space_group_name_H-M 'I 4/m m m'
_symmetry_Int_Tables_number 139
_symmetry_space_group_name_Hall '-I 4 2'
loop_
_atom_site_label
_atom_site_type_symbol
_atom_site_fract_x
_atom_site_fract_y
_atom_site_fract_z
Ti1 Ti 0.000 0.000 0.132
Tl1 Tl 0.000 0.000 0.500
Se1 Se 0.000 0.500 0.250
```



#two
The following is a DFT calculation (PBE) of a relaxed Ti2TlSe2 crystal.

Computed properties:
- total magnetic moment (μB per cell) = 0.000
- volume (Å³ per cell) = 236.3
- crystal system = tetragonal

Geometry as CIF:
```
data_Ti2TlSe2
_cell_length_a 4.064
_cell_length_b 4.064
_cell_length_c 14.307
_cell_angle_alpha 90.00
_cell_angle_beta 90.00
_cell_angle_gamma 90.00
_symmetry_space_group_name_H-M 'I 4/m m m'
_symmetry_Int_Tables_number 139
_symmetry_space_group_name_Hall '-I 4 2'
loop_
_atom_site_label
_atom_site_type_symbol
_atom_site_fract_x
_atom_site_fract_y
_atom_site_fract_z
Ti1 Ti 0.000 0.500 0.250
Tl1 Tl 0.000 0.000 0.000
Se1 Se 0.000 0.000 0.360
```



Most stable: #two



#one
The following is a DFT calculation (PBE) of a relaxed Ti2TlSe crystal.

Computed properties:
- total magnetic moment (μB per cell) = 3.775
- volume (Å³ per cell) = 299.7
- crystal system = cubic

Geometry as CIF:
```
data_Ti2TlSe
_cell_length_a 6.692
_cell_length_b 6.692
_cell_length_c 6.692
_cell_angle_alpha 90.00
_cell_angle_beta 90.00
_cell_angle_gamma 90.00
_symmetry_space_group_name_H-M 'F m -3 m'
_symmetry_Int_Tables_number 225
_symmetry_space_group_name_Hall '-F 4 2 3'
loop_
_atom_site_label
_atom_site_type_symbol
_atom_site_fract_x
_atom_site_fract_y
_atom_site_fract_z
Ti1 Ti 0.250 0.250 0.250
Tl1 Tl 0.000 0.000 0.000
Se1 Se 0.000 0.000 0.500
```



#two
The following is a DFT calculation (PBE) of a relaxed Ti2TlSe crystal.

Computed properties:
- total magnetic moment (μB per cell) = 0.000
- volume (Å³ per cell) = 238.0
- crystal system = trigonal

Geometry as CIF:
```
data_Ti2TlSe
_cell_length_a 3.5168
_cell_length_b 3.5168
_cell_length_c 22.2238
_cell_angle_alpha 90.00
_cell_angle_beta 90.00
_cell_angle_gamma 120.00
_symmetry_space_group_name_H-M 'R 3 m'
_symmetry_Int_Tables_number 160
_symmetry_space_group_name_Hall 'R 3 -2"'
loop_
_atom_site_label
_atom_site_type_symbol
_atom_site_fract_x
_atom_site_fract_y
_atom_site_fract_z
Ti1 Ti 0.0000 0.0000 0.0000
Ti2 Ti 0.0000 0.0000 0.2013
Tl1 Tl 0.0000 0.0000 0.7683
Se1 Se 0.0000 0.0000 0.6005
```



Most stable: #two



#one
The following is a DFT calculation (PBE) of a relaxed TiTl3Se crystal.

Computed properties:
- total magnetic moment (μB per cell) = 2.790
- volume (Å³ per cell) = 186.7
- crystal system = cubic

Geometry as CIF:
```
data_TiTl3Se
_cell_length_a 5.716
_cell_length_b 5.716
_cell_length_c 5.716
_cell_angle_alpha 90.00
_cell_angle_beta 90.00
_cell_angle_gamma 90.00
_symmetry_space_group_name_H-M 'P m -3 m'
_symmetry_Int_Tables_number 221
_symmetry_space_group_name_Hall '-P 4 2 3'
loop_
_atom_site_label
_atom_site_type_symbol
_atom_site_fract_x
_atom_site_fract_y
_atom_site_fract_z
Ti1 Ti 0.000 0.000 0.000
Tl1 Tl 0.000 0.500 0.500
Se1 Se 0.500 0.500 0.500
```



#two
The following is a DFT calculation (PBE) of a relaxed TiTl3Se crystal.

Computed properties:
- total magnetic moment (μB per cell) = 3.004
- volume (Å³ per cell) = 168.0
- crystal system = cubic

Geometry as CIF:
```
data_TiTl3Se
_cell_length_a 5.518
_cell_length_b 5.518
_cell_length_c 5.518
_cell_angle_alpha 90.00
_cell_angle_beta 90.00
_cell_angle_gamma 90.00
_symmetry_space_group_name_H-M 'P m -3 m'
_symmetry_Int_Tables_number 221
_symmetry_space_group_name_Hall '-P 4 2 3'
loop_
_atom_site_label
_atom_site_type_symbol
_atom_site_fract_x
_atom_site_fract_y
_atom_site_fract_z
Ti1 Ti 0.000 0.000 0.000
Tl1 Tl 0.000 0.000 0.500
Se1 Se 0.500 0.500 0.500
```



Most stable: #two



#one
The following is a DFT calculation (PBE) of a relaxed TiTl2Se crystal.

Computed properties:
- total magnetic moment (μB per cell) = 8.289
- volume (Å³ per cell) = 408.4
- crystal system = tetragonal

Geometry as CIF:
```
data_TiTl2Se
_cell_length_a 8.266
_cell_length_b 8.266
_cell_length_c 5.977
_cell_angle_alpha 90.00
_cell_angle_beta 90.00
_cell_angle_gamma 90.00
_symmetry_space_group_name_H-M 'I -4 2 d'
_symmetry_Int_Tables_number 122
_symmetry_space_group_name_Hall 'I -4 2bw'
loop_
_atom_site_label
_atom_site_type_symbol
_atom_site_fract_x
_atom_site_fract_y
_atom_site_fract_z
Ti1 Ti 0.000 0.000 0.000
Tl1 Tl 0.243 0.250 0.125
Se1 Se 0.000 0.000 0.500
```



#two
The following is a DFT calculation (PBE) of a relaxed TiTl2Se crystal.

Computed properties:
- total magnetic moment (μB per cell) = 9.324
- volume (Å³ per cell) = 403.3
- crystal system = cubic

Geometry as CIF:
```
data_TiTl2Se
_cell_length_a 7.388
_cell_length_b 7.388
_cell_length_c 7.388
_cell_angle_alpha 90.00
_cell_angle_beta 90.00
_cell_angle_gamma 90.00
_symmetry_space_group_name_H-M 'F m -3 m'
_symmetry_Int_Tables_number 225
_symmetry_space_group_name_Hall '-F 4 2 3'
loop_
_atom_site_label
_atom_site_type_symbol
_atom_site_fract_x
_atom_site_fract_y
_atom_site_fract_z
Ti1 Ti 0.000 0.000 0.000
Tl1 Tl 0.250 0.250 0.250
Se1 Se 0.000 0.000 0.500
```



Most stable: #one



#one
The following is a DFT calculation (PBE) of a relaxed UTi2Se6 crystal.

Computed properties:
- total magnetic moment (μB per cell) = 3.391
- volume (Å³ per cell) = 446.2
- crystal system = monoclinic

Geometry as CIF:
```
data_UTi2Se6
_cell_length_a 12.547
_cell_length_b 5.009
_cell_length_c 8.463
_cell_angle_alpha 90.00
_cell_angle_beta 122.96
_cell_angle_gamma 90.00
_symmetry_space_group_name_H-M 'C 1 2/m 1'
_symmetry_Int_Tables_number 12
_symmetry_space_group_name_Hall '-C 2y'
loop_
_atom_site_label
_atom_site_type_symbol
_atom_site_fract_x
_atom_site_fract_y
_atom_site_fract_z
U1 U 0.000 0.000 0.000
Ti1 Ti 0.190 0.000 0.577
Se1 Se 0.034 0.000 0.702
Se2 Se 0.140 0.500 0.068
Se3 Se 0.229 0.500 0.643
```



#two
The following is a DFT calculation (PBE) of a relaxed UTi2Se6 crystal.

Computed properties:
- total magnetic moment (μB per cell) = 4.046
- volume (Å³ per cell) = 490.8
- crystal system = monoclinic

Geometry as CIF:
```
data_UTi2Se6
_cell_length_a 17.247
_cell_length_b 3.733
_cell_length_c 8.095
_cell_angle_alpha 90.00
_cell_angle_beta 109.69
_cell_angle_gamma 90.00
_symmetry_space_group_name_H-M 'C 1 2/m 1'
_symmetry_Int_Tables_number 12
_symmetry_space_group_name_Hall '-C 2y'
loop_
_atom_site_label
_atom_site_type_symbol
_atom_site_fract_x
_atom_site_fract_y
_atom_site_fract_z
U1 U 0.000 0.000 0.000
Ti1 Ti 0.174 0.500 0.350
Se1 Se 0.012 0.500 0.260
Se2 Se 0.169 0.000 0.118
Se3 Se 0.172 0.000 0.571
```



Most stable: #two



#one
The following is a DFT calculation (PBE) of a relaxed TiV2Se6 crystal.

Computed properties:
- total magnetic moment (μB per cell) = 4.054
- volume (Å³ per cell) = 392.0
- crystal system = tetragonal

Geometry as CIF:
```
data_TiV2Se6
_cell_length_a 6.103
_cell_length_b 6.103
_cell_length_c 10.525
_cell_angle_alpha 90.00
_cell_angle_beta 90.00
_cell_angle_gamma 90.00
_symmetry_space_group_name_H-M 'P 42/m n m'
_symmetry_Int_Tables_number 136
_symmetry_space_group_name_Hall '-P 4n 2n'
loop_
_atom_site_label
_atom_site_type_symbol
_atom_site_fract_x
_atom_site_fract_y
_atom_site_fract_z
Ti1 Ti 0.000 0.000 0.000
V1 V 0.000 0.000 0.324
Se1 Se 0.193 0.193 0.500
Se2 Se 0.206 0.206 0.167
```



#two
The following is a DFT calculation (PBE) of a relaxed TiV2Se6 crystal.

Computed properties:
- total magnetic moment (μB per cell) = 3.784
- volume (Å³ per cell) = 420.3
- crystal system = monoclinic

Geometry as CIF:
```
data_TiV2Se6
_cell_length_a 17.020
_cell_length_b 3.409
_cell_length_c 7.978
_cell_angle_alpha 90.00
_cell_angle_beta 114.77
_cell_angle_gamma 90.00
_symmetry_space_group_name_H-M 'C 1 2/m 1'
_symmetry_Int_Tables_number 12
_symmetry_space_group_name_Hall '-C 2y'
loop_
_atom_site_label
_atom_site_type_symbol
_atom_site_fract_x
_atom_site_fract_y
_atom_site_fract_z
Ti1 Ti 0.000 0.000 0.000
V1 V 0.173 0.500 0.343
Se1 Se 0.008 0.500 0.242
Se2 Se 0.164 0.000 0.103
Se3 Se 0.170 0.000 0.571
```



Most stable: #two